Record 1
A relaxed Mg3ZnTc crystal. Source: the Alexandria database, functional PBE-GGA.

Cell: 4.8156 4.8156 4.8156 Å, 90.00 90.00 90.00°
Last column: nearest neighbours and their distance in Å.
Sites, in units of the cell vectors:
Mg  0.0000  0.0000  0.5000  2 Zn 2.41
Mg  0.5000  0.0000  0.0000  2 Zn 2.41
Mg  0.0000  0.5000  0.0000  2 Zn 2.41
Tc  0.5000  0.5000  0.5000  12 Mg 3.41
Zn  0.0000  0.0000  0.0000  6 Mg 2.41

Results
- Fermi-level density of states: 4.5 states/eV per cell
- Excess energy over the best structure of this formula in the dataset: 0.0232 eV per atom
- Space-group type: No. 221

=====

Record 2
A relaxed MgZn2Tc crystal. Source: the Alexandria database, functional PBE-GGA.

Cell: 4.8282 4.8282 4.8282 Å, 132.32 132.32 69.73°
Last column: nearest neighbours and their distance in Å.
Sites, in units of the cell vectors:
Tc  0.7500  0.2500  0.5000  4 Mg 2.76, 8 Zn 2.78
Mg  0.2500  0.7500  0.5000  4 Tc 2.76, 8 Zn 2.78
Zn  0.0000  0.0000  0.0000  4 Zn 2.76, 4 Tc 2.78, 4 Mg 2.78
Zn  0.5000  0.5000  0.0000  4 Zn 2.76, 4 Mg 2.78, 4 Tc 2.78

Results
- Fermi-level density of states: 3.4 states/eV per cell
- Excess energy over the best structure of this formula in the dataset: 0.0922 eV per atom
- Space-group type: No. 139

=====

Record 3
A relaxed MgZnTc crystal. Source: the Alexandria database, functional PBE-GGA.

Cell: 4.5065 4.5065 2.6440 Å, 90.00 90.00 120.00°
Last column: nearest neighbours and their distance in Å.
Sites, in units of the cell vectors:
Mg  0.0000  0.0000  0.9545  2 Mg 2.64, 3 Zn 2.71, 3 Tc 2.83
Zn  0.6667  0.3333  0.6739  2 Zn 2.64, 3 Mg 2.71, 3 Tc 2.72
Tc  0.3333  0.6667  0.3716  2 Tc 2.64, 3 Zn 2.72, 3 Mg 2.83

Results
- Fermi-level density of states: 2.5 states/eV per cell
- Excess energy over the best structure of this formula in the dataset: 0.0181 eV per atom
- Space-group type: No. 156

=====

Record 4
A relaxed MgZn3Tc crystal. Source: the Alexandria database, functional PBE-GGA.

Cell: 4.8012 4.8012 4.8012 Å, 90.00 90.00 90.00°
Last column: nearest neighbours and their distance in Å.
Sites, in units of the cell vectors:
Zn  0.0000  0.0000  0.5000  2 Tc 2.40
Zn  0.5000  0.0000  0.0000  2 Tc 2.40
Zn  0.0000  0.5000  0.0000  2 Tc 2.40
Mg  0.5000  0.5000  0.5000  12 Zn 3.39
Tc  0.0000  0.0000  0.0000  6 Zn 2.40

Results
- Fermi-level density of states: 2.7 states/eV per cell
- Excess energy over the best structure of this formula in the dataset: 0.0000 eV per atom
- Space-group type: No. 221

=====

Record 5
A relaxed MgZn2Tc crystal. Source: the Alexandria database, functional PBE-GGA.

Cell: 4.4029 4.4029 4.4029 Å, 60.00 60.00 60.00°
Last column: nearest neighbours and their distance in Å.
Sites, in units of the cell vectors:
Tc  0.2500  0.2500  0.2500  4 Mg 2.70, 4 Zn 2.70
Zn  0.0000  0.0000  0.0000  4 Tc 2.70, 4 Zn 2.70
Zn  0.7500  0.7500  0.7500  4 Zn 2.70, 4 Mg 2.70
Mg  0.5000  0.5000  0.5000  4 Zn 2.70, 4 Tc 2.70

Results
- Fermi-level density of states: 4.2 states/eV per cell
- Excess energy over the best structure of this formula in the dataset: 0.2300 eV per atom
- Space-group type: No. 216

=====

Record 6
A relaxed MgZn2Tc crystal. Source: the Alexandria database, functional PBE-GGA.

Cell: 3.9637 3.9646 3.8362 Å, 90.00 90.00 90.00°
Last column: nearest neighbours and their distance in Å.
Sites, in units of the cell vectors:
Mg  0.5000  0.0000  0.5000  8 Zn 2.76, 4 Tc 2.80
Zn  0.5000  0.5000  0.0000  4 Tc 2.76, 4 Mg 2.76, 4 Zn 2.80
Zn  0.0000  0.0000  0.0000  4 Mg 2.76, 4 Tc 2.76, 4 Zn 2.80
Tc  0.0000  0.5000  0.5000  8 Zn 2.76, 4 Mg 2.80

Results
- Fermi-level density of states: 1.5 states/eV per cell
- Excess energy over the best structure of this formula in the dataset: 0.0000 eV per atom
- Space-group type: No. 123

=====

Record 7
A relaxed MgZn2Tc2 crystal. Source: the Alexandria database, functional PBE-GGA.

Cell: 4.7046 4.7046 5.2154 Å, 63.19 63.19 90.00°
Last column: nearest neighbours and their distance in Å.
Sites, in units of the cell vectors:
Zn  0.7500  0.2500  0.5000  4 Tc 2.52
Zn  0.2500  0.7500  0.5000  4 Tc 2.52
Mg  0.0000  0.0000  0.0000  2 Tc 2.90, 8 Zn 3.09
Tc  0.6388  0.6388  0.7224  1 Tc 2.23
Tc  0.3612  0.3612  0.2776  1 Tc 2.23

Results
- Fermi-level density of states: 1.9 states/eV per cell
- Excess energy over the best structure of this formula in the dataset: 0.1785 eV per atom
- Space-group type: No. 139

=====

Record 8
A relaxed MgZn2Tc2 crystal. Source: the Alexandria database, functional PBE-GGA.

Cell: 7.2137 7.2137 3.1529 Å, 90.00 90.00 90.00°
Last column: nearest neighbours and their distance in Å.
Sites, in units of the cell vectors:
Zn  0.8191  0.3191  0.5000  6 Tc 2.63-2.68
Zn  0.1809  0.6809  0.5000  6 Tc 2.63-2.68
Zn  0.3191  0.1809  0.5000  6 Tc 2.63-2.68
Zn  0.6809  0.8191  0.5000  6 Tc 2.63-2.68
Tc  0.1122  0.3878  0.0000  1 Tc 2.29
Tc  0.6122  0.1122  0.0000  1 Tc 2.29
Tc  0.8878  0.6122  0.0000  1 Tc 2.29
Tc  0.3878  0.8878  0.0000  1 Tc 2.29
Mg  0.0000  0.0000  0.0000  4 Tc 2.91, 8 Zn 3.08, 2 Mg 3.15
Mg  0.5000  0.5000  0.0000  4 Tc 2.91, 8 Zn 3.08, 2 Mg 3.15

Results
- Fermi-level density of states: 3.6 states/eV per cell
- Excess energy over the best structure of this formula in the dataset: 0.0000 eV per atom
- Space-group type: No. 127

=====

Record 9
A relaxed MgZn2Tc crystal. Source: the Alexandria database, functional PBE-GGA.

Cell: 2.7438 2.7438 8.3083 Å, 90.00 90.00 90.00°
Last column: nearest neighbours and their distance in Å.
Sites, in units of the cell vectors:
Zn  0.0000  0.0000  0.9977  8 Zn 2.74-2.77, 4 Tc 2.76
Zn  0.5000  0.5000  0.2364  8 Zn 2.74-2.77, 4 Mg 2.95
Mg  0.0000  0.0000  0.5044  4 Mg 2.74, 4 Tc 2.89, 4 Zn 2.95
Tc  0.5000  0.5000  0.7615  4 Tc 2.74, 4 Zn 2.76, 4 Mg 2.89

Results
- Fermi-level density of states: 3.2 states/eV per cell
- Excess energy over the best structure of this formula in the dataset: 0.1477 eV per atom
- Space-group type: No. 99

=====

Record 10
A relaxed MgZnTc crystal. Source: the Alexandria database, functional PBE-GGA.

Cell: 4.8667 4.8667 4.8667 Å, 148.03 129.83 60.73°
Last column: nearest neighbours and their distance in Å.
Sites, in units of the cell vectors:
Zn  0.6701  0.6701  0.0000  2 Zn 2.68, 5 Mg 2.77-2.84, 5 Tc 2.80-2.86
Mg  0.0001  0.0001  0.0000  2 Mg 2.68, 5 Tc 2.77-2.85, 5 Zn 2.77-2.84
Tc  0.3298  0.3298  0.0000  2 Tc 2.68, 5 Mg 2.77-2.85, 5 Zn 2.80-2.86

Results
- Fermi-level density of states: 2.1 states/eV per cell
- Excess energy over the best structure of this formula in the dataset: 0.0137 eV per atom
- Space-group type: No. 44

=====

Record 11
A relaxed MgZn2Tc crystal. Source: the Alexandria database, functional PBE-GGA.

Cell: 5.3201 5.3201 4.8992 Å, 63.47 63.47 29.73°
Last column: nearest neighbours and their distance in Å.
Sites, in units of the cell vectors:
Zn  0.9988  0.9988  0.0961  5 Zn 2.73-2.80, 3 Tc 2.76, 4 Mg 2.76-2.85
Zn  0.7460  0.7460  0.6673  3 Mg 2.73-2.82, 5 Zn 2.73-2.80, 4 Tc 2.78-2.83
Tc  0.2538  0.2538  0.1529  2 Tc 2.73, 7 Zn 2.76-2.83, 3 Mg 2.77-2.83
Mg  0.5014  0.5014  0.5838  7 Zn 2.73-2.85, 2 Mg 2.73, 3 Tc 2.77-2.83

Results
- Fermi-level density of states: 1.6 states/eV per cell
- Excess energy over the best structure of this formula in the dataset: 0.0483 eV per atom
- Space-group type: No. 8

=====

Record 12
A relaxed MgZnTc crystal. Source: the Alexandria database, functional PBE-GGA.

Cell: 4.2461 4.2461 4.2461 Å, 60.00 60.00 60.00°
Last column: nearest neighbours and their distance in Å.
Sites, in units of the cell vectors:
Tc  0.5000  0.5000  0.5000  4 Zn 2.60
Mg  0.0000  0.0000  0.0000  4 Zn 2.60
Zn  0.7500  0.7500  0.7500  4 Tc 2.60, 4 Mg 2.60

Results
- Fermi-level density of states: 3.5 states/eV per cell
- Excess energy over the best structure of this formula in the dataset: 0.4325 eV per atom
- Space-group type: No. 216